(1)
# HfGa2ReAs

A relaxed HfGa2ReAs crystal (PBE-GGA, Alexandria).

## Properties
The calculation puts the calculated total energy at -28.410 eV per cell. Its crystal system is tetragonal. For the density of states at the Fermi level, the calculation gives 4.47 states/eV/cell. The energy of formation from the pure elements comes out at 0.939 eV per atom.

Cell and atoms, written as extended XYZ:
```
5
Lattice="-1.082 1.869 4.271 -1.402 -4.105 1.441 4.425 -0.969 1.545" Properties=species:S:1:pos:R:3 pbc="T T T"
Re -0.701 -2.053 0.721
As 0.000 0.000 0.000
Hf 0.970 -1.603 3.629
Ga 2.213 -0.484 0.773
Ga -0.541 0.934 2.136
```

(2)
# CsNi2SbMo

A relaxed CsNi2SbMo crystal (PBE-GGA, Alexandria).

## Properties
The calculation puts the calculated total energy at -23.113 eV per cell. Its crystal system is tetragonal. For the density of states at the Fermi level, the calculation gives 6.64 states/eV/cell. The value obtained for the uncorrected formation energy is 0.851 eV per atom.

Cell and atoms, written as extended XYZ:
```
5
Lattice="-3.690 3.257 0.150 -0.911 -0.799 -5.076 -3.145 -3.616 1.134" Properties=species:S:1:pos:R:3 pbc="T T T"
Cs -3.873 -0.579 -1.896
Sb -0.456 -0.399 -2.538
Mo 0.000 0.000 0.000
Ni -1.572 -1.808 0.567
Ni -1.845 1.628 0.075
```

(3)
# PSe

A relaxed PSe crystal (PBE-GGA, Alexandria).

## Properties
The calculation puts the calculated total energy at -17.373 eV per cell. Its crystal system is monoclinic. The calculation puts the polymorph energy (0 for the lowest one) at 184 meV/atom. For the density of states at the Fermi level, the calculation gives 1.03 states/eV/cell. The value obtained for the uncorrected formation energy is 0.104 eV per atom.

Cell and atoms, written as extended XYZ:
```
4
Lattice="-0.176 -4.242 -3.916 1.625 -1.497 -5.336 4.898 -3.865 -1.257" Properties=species:S:1:pos:R:3 pbc="T T T"
P 1.722 -4.605 -6.717
P 4.624 -4.997 -3.793
Se 3.976 -3.686 -2.081
Se 2.371 -5.917 -8.429
```

(4)
# PaTiMn2H6

A relaxed PaTiMn2H6 crystal (PBE-GGA, Alexandria).

## Properties
The calculation puts the calculated total energy at -58.977 eV per cell. Its crystal system is trigonal. For the density of states at the Fermi level, the calculation gives 3.70 states/eV/cell.

Cell and atoms, written as extended XYZ:
```
10
Lattice="-2.821 -2.023 -2.535 -1.593 -3.815 1.174 -5.305 0.393 1.946" Properties=species:S:1:pos:R:3 pbc="T T T"
Pa 0.000 0.000 0.000
Ti -4.859 -2.723 0.293
Mn -6.789 -4.389 0.126
Mn -2.930 -1.056 0.460
H -5.423 -1.957 2.016
H -5.998 -1.117 0.279
H -2.974 -2.541 -0.243
H -4.295 -3.489 -1.431
H -3.720 -4.328 0.306
H -6.745 -2.904 0.829
```